This record from the Alexandria database describes crystalline AlGaOs2Cl at its relaxed geometry. The functional is PBE-GGA.

Summary:
Total energy   -0.1706 hartree per atom
M_tot   0.000 μB/f.u.
ΔE_f (raw)   7.859 eV per formula unit
DOS(E_F)   0.85 states/eV/atom

a b c (Å): 4.4257 4.4416 4.4257
angles (deg): 90.00 90.00 90.00
Element x y z (fractional)
Al 0.0000 0.5000 0.0000
Ga 0.5000 0.5000 0.5000
Os 0.5000 0.0000 0.0000
Os 0.0000 0.0000 0.5000
Cl 0.0000 0.0000 0.0000

This record from the Alexandria database describes crystalline Ti3ZnI at its relaxed geometry. The functional is PBE-GGA.

Summary:
Total energy   -0.1558 hartree per atom
M_tot   2.983 μB/f.u.
ΔE_f (raw)   5.313 eV per formula unit
DOS(E_F)   1.79 states/eV/atom

a b c (Å): 4.9688 4.9688 4.9688
angles (deg): 90.00 90.00 90.00
Element x y z (fractional)
Ti 0.5000 0.0000 0.0000
Ti 0.0000 0.0000 0.5000
Ti 0.0000 0.5000 0.0000
Zn 0.5000 0.5000 0.5000
I 0.0000 0.0000 0.0000

This record from the Alexandria database describes crystalline SbTeCl2 at its relaxed geometry. The functional is PBE-GGA.

Summary:
Total energy   -0.0981 hartree per atom
M_tot   0.000 μB/f.u.
ΔE_f (raw)   0.280 eV per formula unit
DOS(E_F)   0.57 states/eV/atom

a b c (Å): 5.7088 5.7088 3.2008
angles (deg): 90.00 90.00 111.54
Element x y z (fractional)
Te 0.0000 0.5000 0.5000
Sb 0.5000 0.0000 0.5000
Cl 0.0000 0.0000 0.0000
Cl 0.5000 0.5000 0.0000

This record from the Alexandria database describes crystalline TlHg3Pb4 at its relaxed geometry. The functional is PBE-GGA.

Summary:
Total energy   -0.0822 hartree per atom
M_tot   0.000 μB/f.u.
DOS(E_F)   0.57 states/eV/atom
DFT formation energy   0.028 eV/atom

a b c (Å): 7.0279 9.4004 7.1078
angles (deg): 90.00 90.00 90.00
Element x y z (fractional)
Hg 0.5000 0.3066 0.9945
Hg 0.7629 0.0635 0.7550
Hg 0.2371 0.0635 0.7550
Hg 0.0000 0.8066 0.0055
Hg 0.7371 0.5635 0.2450
Hg 0.2629 0.5635 0.2450
Pb 0.2524 0.5650 0.7552
Pb 0.7524 0.0650 0.2448
Pb 0.5000 0.8221 0.5050
Pb 0.0000 0.3221 0.4950
Pb 0.7476 0.5650 0.7552
Pb 0.5000 0.8218 0.9956
Pb 0.0000 0.3218 0.0044
Pb 0.2476 0.0650 0.2448
Tl 0.5000 0.3076 0.5075
Tl 0.0000 0.8076 0.4925

This record from the Alexandria database describes crystalline K3AgRu2O8 at its relaxed geometry. The functional is PBE-GGA.

Summary:
Total energy   -0.2089 hartree per atom
M_tot   4.002 μB/f.u.
ΔE_f (raw)   -15.238 eV per formula unit

a b c (Å): 6.0494 6.0494 7.8257
angles (deg): 90.00 90.00 120.00
Element x y z (fractional)
K 0.0000 0.0000 0.0000
K 0.3333 0.6667 0.6520
K 0.6667 0.3333 0.3480
Ag 0.0000 0.0000 0.5000
O 0.8259 0.6518 0.6983
O 0.1741 0.8259 0.3017
O 0.6667 0.3333 0.0160
O 0.3333 0.6667 0.9840
O 0.3482 0.1741 0.6983
O 0.8259 0.1741 0.6983
O 0.1741 0.3482 0.3017
O 0.6518 0.8259 0.3017
Ru 0.3333 0.6667 0.2101
Ru 0.6667 0.3333 0.7899

This record from the Alexandria database describes crystalline MnRu2Pb at its relaxed geometry. The functional is PBE-GGA.

Summary:
Total energy   -0.2751 hartree per atom
M_tot   3.134 μB/f.u.
DOS(E_F)   0.90 states/eV/atom
DFT formation energy   0.373 eV/atom

a b c (Å): 4.5975 4.5975 5.1708
angles (deg): 79.13 79.13 37.87
Element x y z (fractional)
Ru 0.9886 0.9886 0.0435
Ru 0.5114 0.5114 0.4565
Pb 0.7500 0.7500 0.7500
Mn 0.2500 0.2500 0.2500

This record from the Alexandria database describes crystalline LaCr2Rh2 at its relaxed geometry. The functional is PBE-GGA.

Summary:
Total energy   -0.2873 hartree per atom
M_tot   0.645 μB/f.u.
DOS(E_F)   0.84 states/eV/atom
DFT formation energy   -0.042 eV/atom

a b c (Å): 4.3780 4.3780 5.5245
angles (deg): 66.66 66.66 90.00
Element x y z (fractional)
Rh 0.2500 0.7500 0.5000
Rh 0.7500 0.2500 0.5000
Cr 0.6042 0.6042 0.7916
Cr 0.3958 0.3958 0.2084
La 0.0000 0.0000 0.0000

This record from the Alexandria database describes crystalline LiPrInCo at its relaxed geometry. The functional is PBE-GGA.

Summary:
Total energy   -0.1561 hartree per atom
M_tot   0.768 μB/f.u.
DOS(E_F)   1.33 states/eV/atom
DFT formation energy   -0.114 eV/atom

a b c (Å): 4.7940 4.7940 4.7940
angles (deg): 60.00 60.00 60.00
Element x y z (fractional)
In 0.7500 0.7500 0.7500
Pr 0.2500 0.2500 0.2500
Li 0.0000 0.0000 0.0000
Co 0.5000 0.5000 0.5000

This record from the Alexandria database describes crystalline SrZrOF2 at its relaxed geometry. The functional is PBE-GGA.

Summary:
Total energy   -0.2025 hartree per atom
M_tot   1.999 μB/f.u.
ΔE_f (raw)   -8.627 eV per formula unit
DOS(E_F)   0.44 states/eV/atom

a b c (Å): 4.4612 4.4612 4.9079
angles (deg): 90.00 90.00 90.00
Element x y z (fractional)
F 0.5000 0.0000 0.0000
F 0.0000 0.5000 0.0000
Sr 0.0000 0.0000 0.0000
Zr 0.5000 0.5000 0.5000
O 0.0000 0.0000 0.5000

This record from the Alexandria database describes crystalline Ru2BrCl at its relaxed geometry. The functional is PBE-GGA.

Summary:
Total energy   -0.1653 hartree per atom
M_tot   0.001 μB/f.u.
ΔE_f (raw)   4.079 eV per formula unit
DOS(E_F)   1.57 states/eV/atom

a b c (Å): 4.4644 4.4644 4.4644
angles (deg): 60.00 60.00 60.00
Element x y z (fractional)
Br 0.5000 0.5000 0.5000
Cl 0.0000 0.0000 0.0000
Ru 0.7500 0.7500 0.7500
Ru 0.2500 0.2500 0.2500

This record from the Alexandria database describes crystalline BiS2NCl at its relaxed geometry. The functional is PBE-GGA.

Summary:
Total energy   -0.1156 hartree per atom
M_tot   0.002 μB/f.u.
ΔE_f (raw)   6.581 eV per formula unit
DOS(E_F)   0.76 states/eV/atom

a b c (Å): 5.0447 5.0447 3.6784
angles (deg): 90.00 90.00 90.00
Element x y z (fractional)
Bi 0.5000 0.5000 0.5000
S 0.0000 0.5000 0.0000
S 0.5000 0.0000 0.0000
Cl 0.0000 0.0000 0.0000
N 0.0000 0.0000 0.5000

This record from the Alexandria database describes crystalline SrIn2Sb at its relaxed geometry. The functional is PBE-GGA.

Summary:
Total energy   -0.1168 hartree per atom
M_tot   0.000 μB/f.u.
ΔE_f (raw)   -1.427 eV per formula unit
DOS(E_F)   0.53 states/eV/atom

a b c (Å): 5.5082 4.8768 4.8876
angles (deg): 84.06 90.00 90.00
Element x y z (fractional)
Sr 0.5000 0.7500 0.7500
In 0.0000 0.0352 0.0354
In 0.0000 0.4648 0.4646
Sb 0.5000 0.2500 0.2500

This record from the Alexandria database describes crystalline CeTm2Zr at its relaxed geometry. The functional is PBE-GGA.

Summary:
Total energy   -0.2078 hartree per atom
M_tot   0.080 μB/f.u.
DOS(E_F)   2.30 states/eV/atom
DFT formation energy   0.201 eV/atom

a b c (Å): 5.4088 5.4088 5.4088
angles (deg): 60.00 60.00 60.00
Element x y z (fractional)
Ce 0.0000 0.0000 0.0000
Tm 0.7500 0.7500 0.7500
Tm 0.2500 0.2500 0.2500
Zr 0.5000 0.5000 0.5000

This record from the Alexandria database describes crystalline YGa2Ni4 at its relaxed geometry. The functional is PBE-GGA.

Summary:
Total energy   -0.2037 hartree per atom
M_tot   0.000 μB/f.u.
DOS(E_F)   0.68 states/eV/atom
DFT formation energy   -0.451 eV/atom

a b c (Å): 3.8363 7.2500 7.2500
angles (deg): 90.00 90.00 90.00
Element x y z (fractional)
Ni 0.5000 0.4111 0.8510
Ni 0.0000 0.6490 0.9111
Ni 0.0000 0.9111 0.6490
Ni 0.5000 0.1490 0.5889
Ni 0.0000 0.3510 0.0889
Ni 0.0000 0.0889 0.3510
Ni 0.5000 0.8510 0.4111
Ni 0.5000 0.5889 0.1490
Ga 0.5000 0.7198 0.7198
Ga 0.0000 0.7802 0.2198
Ga 0.5000 0.2802 0.2802
Ga 0.0000 0.2198 0.7802
Y 0.5000 0.0000 0.0000
Y 0.0000 0.5000 0.5000

This record from the Alexandria database describes crystalline KReP at its relaxed geometry. The functional is PBE-GGA.

Summary:
Total energy   -0.2177 hartree per atom
M_tot   0.000 μB/f.u.
DOS(E_F)   0.66 states/eV/atom
DFT formation energy   0.396 eV/atom

a b c (Å): 3.1508 3.1508 7.1593
angles (deg): 90.00 90.00 120.00
Element x y z (fractional)
K 0.0000 0.0000 0.0218
P 0.6667 0.3333 0.3858
Re 0.3333 0.6667 0.5923

This record from the Alexandria database describes crystalline Pa4Ge3Os at its relaxed geometry. The functional is PBE-GGA.

Summary:
Total energy   -0.3053 hartree per atom
M_tot   0.001 μB/f.u.
DOS(E_F)   1.62 states/eV/atom
DFT formation energy   -0.426 eV/atom

a b c (Å): 4.0223 4.2144 10.6375
angles (deg): 90.00 90.00 90.00
Element x y z (fractional)
Pa 0.5000 0.5000 0.3562
Pa 0.5000 0.0000 0.6358
Pa 0.0000 0.5000 0.8674
Pa 0.0000 0.0000 0.1352
Ge 0.0000 0.5000 0.5941
Ge 0.0000 0.0000 0.4079
Ge 0.5000 0.0000 0.9145
Os 0.5000 0.5000 0.0889

This record from the Alexandria database describes crystalline Zr2GeCF at its relaxed geometry. The functional is PBE-GGA.

Summary:
Total energy   -0.2111 hartree per atom
M_tot   0.000 μB/f.u.
ΔE_f (raw)   4.089 eV per formula unit
DOS(E_F)   1.26 states/eV/atom

a b c (Å): 5.0758 3.8619 5.0758
angles (deg): 90.00 90.00 90.00
Element x y z (fractional)
Zr 0.5000 0.0000 0.0000
Zr 0.0000 0.0000 0.5000
Ge 0.0000 0.0000 0.0000
C 0.5000 0.5000 0.5000
F 0.0000 0.5000 0.0000